No. 1
Compound: PaGeW
Source: the Alexandria database
Functional: PBE-GGA
Structure: optimized geometry

a = 4.535 Å, b = 5.643 Å, c = 4.893 Å
α = 70.10°, β = 90.00°, γ = 90.00°
Element x y z (fractional)
Pa 0.750 0.554 0.797
Pa 0.250 0.446 0.203
W 0.750 0.917 0.148
W 0.250 0.083 0.852
Ge 0.750 0.140 0.552
Ge 0.250 0.860 0.448

E_tot	-9.02	eV per atom
energy relative to the elements	0.002	eV per atom
total moment	0.000	μB per atom
energy above the most stable polymorph in this dataset	0.00	eV/f.u.
SG	P2_1/m, No. 11
ρ	13.75	g cm⁻³

No. 2
Compound: PaGeW
Source: the Alexandria database
Functional: PBE-GGA
Structure: optimized geometry

a = 3.558 Å, b = 4.465 Å, c = 4.465 Å
α = 120.00°, β = 90.00°, γ = 90.00°
Element x y z (fractional)
Ge 0.167 0.000 0.000
Pa 0.667 0.667 0.333
W 0.167 0.333 0.667

E_tot	-8.97	eV per atom
energy relative to the elements	0.055	eV per atom
total moment	0.000	μB per atom
energy above the most stable polymorph in this dataset	0.16	eV/f.u.
SG	P-6m2, No. 187
ρ	13.18	g cm⁻³

No. 3
Compound: Pa2GeW
Source: the Alexandria database
Functional: PBE-GGA
Structure: optimized geometry

a = 4.973 Å, b = 4.973 Å, c = 4.973 Å
α = 60.00°, β = 60.00°, γ = 60.00°
Element x y z (fractional)
Ge 0.500 0.500 0.500
Pa 0.250 0.250 0.250
Pa 0.750 0.750 0.750
W 0.000 0.000 0.000

E_tot	-8.99	eV per atom
energy relative to the elements	0.148	eV per atom
total moment	0.000	μB per atom
energy above the most stable polymorph in this dataset	0.90	eV/f.u.
SG	Fm-3m, No. 225
ρ	13.72	g cm⁻³

No. 4
Compound: YPaGe4
Source: the Alexandria database
Functional: PBE-GGA
Structure: optimized geometry

a = 5.577 Å, b = 5.577 Å, c = 5.577 Å
α = 60.00°, β = 60.00°, γ = 60.00°
Site moments in Bohr magnetons follow the coordinates.
Element x y z (fractional)
Y 0.000 0.000 0.000  0.11
Ge 0.626 0.626 0.123  -0.01
Ge 0.626 0.123 0.626  -0.01
Ge 0.626 0.626 0.626  -0.01
Ge 0.123 0.626 0.626  -0.01
Pa 0.250 0.250 0.250  0.44

E_tot	-5.91	eV per atom
energy relative to the elements	-0.173	eV per atom
total moment	0.112	μB per atom
SG	F-43m, No. 216
ρ	8.27	g cm⁻³

No. 5
Compound: YPa5Ge6
Source: the Alexandria database
Functional: PBE-GGA
Structure: optimized geometry

a = 7.170 Å, b = 7.169 Å, c = 7.169 Å
α = 60.00°, β = 80.41°, γ = 70.54°
Element x y z (fractional)
Y 0.000 0.000 0.000
Ge 0.748 0.084 0.337
Ge 0.252 0.579 0.337
Ge 0.252 0.253 0.000
Ge 0.748 0.747 0.000
Ge 0.748 0.421 0.663
Ge 0.252 0.916 0.663
Pa 0.500 0.166 0.668
Pa 0.000 0.333 0.334
Pa 0.500 0.500 0.000
Pa 0.000 0.667 0.666
Pa 0.500 0.834 0.332

E_tot	-7.31	eV per atom
energy relative to the elements	-0.506	eV per atom
total moment	0.000	μB per atom
SG	C2/m, No. 12
ρ	9.27	g cm⁻³

No. 6
Compound: YPa2Ge
Source: the Alexandria database
Functional: PBE-GGA
Structure: optimized geometry

a = 3.194 Å, b = 3.194 Å, c = 11.548 Å
α = 82.05°, β = 82.05°, γ = 60.00°
Element x y z (fractional)
Y 0.000 0.000 0.000
Ge 0.500 0.500 0.500
Pa 0.095 0.095 0.716
Pa 0.905 0.905 0.284

E_tot	-7.35	eV per atom
energy relative to the elements	0.173	eV per atom
total moment	0.000	μB per atom
energy above the most stable polymorph in this dataset	1.52	eV/f.u.
SG	R-3m, No. 166
ρ	10.28	g cm⁻³

No. 7
Compound: YPaGe
Source: the Alexandria database
Functional: PBE-GGA
Structure: optimized geometry

a = 5.563 Å, b = 3.209 Å, c = 8.673 Å
α = 79.34°, β = 90.00°, γ = 90.00°
Element x y z (fractional)
Y 0.750 0.673 0.654
Y 0.250 0.327 0.346
Pa 0.500 0.000 0.000
Pa 0.000 0.000 0.000
Ge 0.750 0.844 0.311
Ge 0.250 0.156 0.689

E_tot	-7.00	eV per atom
energy relative to the elements	-0.144	eV per atom
total moment	0.000	μB per atom
energy above the most stable polymorph in this dataset	0.00	eV/f.u.
SG	Cmcm, No. 63
ρ	8.57	g cm⁻³

No. 8
Compound: YPaGe
Source: the Alexandria database
Functional: PBE-GGA
Structure: optimized geometry

a = 3.497 Å, b = 4.981 Å, c = 4.981 Å
α = 120.00°, β = 90.00°, γ = 90.00°
Site moments in Bohr magnetons follow the coordinates.
Element x y z (fractional)
Y 0.750 0.333 0.667  0.07
Ge 0.979 0.000 0.000  0.00
Pa 0.272 0.667 0.333  0.55

E_tot	-6.85	eV per atom
energy relative to the elements	0.011	eV per atom
total moment	0.252	μB per atom
energy above the most stable polymorph in this dataset	0.47	eV/f.u.
SG	P3m1, No. 156
ρ	8.67	g cm⁻³

No. 9
Compound: YPaGe2
Source: the Alexandria database
Functional: PBE-GGA
Structure: optimized geometry

a = 4.182 Å, b = 4.182 Å, c = 7.107 Å
α = 72.89°, β = 72.89°, γ = 60.00°
Element x y z (fractional)
Y 0.500 0.500 0.500
Ge 0.747 0.747 0.760
Ge 0.253 0.253 0.240
Pa 0.000 0.000 0.000

E_tot	-6.94	eV per atom
energy relative to the elements	-0.642	eV per atom
total moment	0.000	μB per atom
energy above the most stable polymorph in this dataset	0.00	eV/f.u.
SG	R-3m, No. 166
ρ	7.63	g cm⁻³

No. 10
Compound: YPa2Ge
Source: the Alexandria database
Functional: PBE-GGA
Structure: optimized geometry

a = 5.034 Å, b = 4.324 Å, c = 4.324 Å
α = 90.00°, β = 90.00°, γ = 90.00°
Element x y z (fractional)
Y 0.500 0.500 0.500
Ge 0.500 0.000 0.000
Pa 0.000 0.000 0.500
Pa 0.000 0.500 0.000

E_tot	-7.72	eV per atom
energy relative to the elements	-0.206	eV per atom
total moment	0.000	μB per atom
energy above the most stable polymorph in this dataset	0.00	eV/f.u.
SG	P4/mmm, No. 123
ρ	11.00	g cm⁻³

No. 11
Compound: YPa3Ge4
Source: the Alexandria database
Functional: PBE-GGA
Structure: optimized geometry

a = 3.088 Å, b = 8.159 Å, c = 8.159 Å
α = 81.81°, β = 67.81°, γ = 67.81°
Site moments in Bohr magnetons follow the coordinates.
Element x y z (fractional)
Y 0.500 0.500 0.000  -0.03
Ge 0.000 0.752 0.748  -0.01
Ge 0.495 0.752 0.252  -0.01
Ge 0.000 0.248 0.252  -0.01
Ge 0.505 0.248 0.748  -0.01
Pa 0.500 0.000 0.500  0.27
Pa 0.000 0.000 0.000  0.30
Pa 0.000 0.500 0.500  0.30

E_tot	-7.15	eV per atom
energy relative to the elements	-0.474	eV per atom
total moment	0.115	μB per atom
SG	P4/mmm, No. 123
ρ	10.11	g cm⁻³

No. 12
Compound: YPaGe2
Source: the Alexandria database
Functional: PBE-GGA
Structure: optimized geometry

a = 3.348 Å, b = 3.348 Å, c = 7.919 Å
α = 90.00°, β = 90.00°, γ = 90.00°
Element x y z (fractional)
Y 0.500 0.500 0.500
Ge 0.000 0.000 0.751
Ge 0.000 0.000 0.249
Pa 0.500 0.500 0.000

E_tot	-6.79	eV per atom
energy relative to the elements	-0.491	eV per atom
total moment	0.000	μB per atom
energy above the most stable polymorph in this dataset	0.60	eV/f.u.
SG	P4/mmm, No. 123
ρ	8.70	g cm⁻³

Among the records above, which one has the highest E_tot? YPaGe4

What did the twelfth record say?
Compound: YPaGe2
Source: the Alexandria database
Functional: PBE-GGA
Structure: optimized geometry

a = 3.348 Å, b = 3.348 Å, c = 7.919 Å
α = 90.00°, β = 90.00°, γ = 90.00°
Element x y z (fractional)
Y 0.500 0.500 0.500
Ge 0.000 0.000 0.751
Ge 0.000 0.000 0.249
Pa 0.500 0.500 0.000

E_tot	-6.79	eV per atom
energy relative to the elements	-0.491	eV per atom
total moment	0.000	μB per atom
energy above the most stable polymorph in this dataset	0.60	eV/f.u.
SG	P4/mmm, No. 123
ρ	8.70	g cm⁻³

E_tot of number 4 (YPaGe4)? -5.91 eV per atom